# 1
A relaxed La2HoAu crystal. Source: Alexandria, functional PBE.

DFT formation energy (eV/f.u.): -1.38
M_tot (μB/cell): 0.0
Total energy (eV per atom): -4.7729

CIF file:
```
data_La2HoAu
_chemical_formula_sum 'La2 Ho1 Au1'
_symmetry_space_group_name_H-M 'P 4/m m m'
_symmetry_Int_Tables_number 123
_symmetry_space_group_name_Hall '-P 4 2'
_cell_length_a 3.8229
_cell_length_b 3.8229
_cell_length_c 8.4375
_cell_angle_alpha 90.00
_cell_angle_beta 90.00
_cell_angle_gamma 90.00
loop_
_atom_site_label
_atom_site_type_symbol
_atom_site_fract_x
_atom_site_fract_y
_atom_site_fract_z
La1 La 0.0000 0.0000 0.2149
Ho1 Ho 0.5000 0.5000 0.5000
Au1 Au 0.5000 0.5000 0.0000
```

# 2
A relaxed LiYFe2 crystal. Source: Alexandria, functional PBE.

DFT formation energy (eV/f.u.): 1.91
M_tot (μB/cell): 16.6
Total energy (eV per atom): -5.8480

CIF file:
```
data_LiYFe2
_chemical_formula_sum 'Li3 Y3 Fe6'
_symmetry_space_group_name_H-M 'R 3 m'
_symmetry_Int_Tables_number 160
_symmetry_space_group_name_Hall 'R 3 -2"'
_cell_length_a 3.1073
_cell_length_b 3.1073
_cell_length_c 26.7089
_cell_angle_alpha 90.00
_cell_angle_beta 90.00
_cell_angle_gamma 120.00
loop_
_atom_site_label
_atom_site_type_symbol
_atom_site_fract_x
_atom_site_fract_y
_atom_site_fract_z
Li1 Li 0.0000 0.0000 0.0000
Y1 Y 0.0000 0.0000 0.7746
Fe1 Fe 0.0000 0.0000 0.2551
Fe2 Fe 0.0000 0.0000 0.5284
```